Record 1
ReIrRh2: relaxed, PBEsol.

## Properties
N(E_F) = 10.71 states/eV per cell
ΔH_f (0 K) = -0.06 eV/atom
total energy = -119.01 eV per cell

Cell: 2.6892 2.6892 26.5706 Å, 90.00 90.00 120.00°
Space group R-3m (No. 166, hexagonal axes)
Unique sites:
Re1 0.0000 0.0000 0.0000
Ir1 0.0000 0.0000 0.5000
Rh1 0.0000 0.0000 0.2511

---

Record 2
ReIr2Rh: relaxed, PBEsol.

## Properties
N(E_F) = 8.29 states/eV per cell
ΔH_f (0 K) = -0.11 eV/atom
total energy = -83.14 eV per cell

Cell: 3.8416 3.8416 7.5746 Å, 90.00 90.00 90.00°
Space group I4/mmm (No. 139)
Unique sites:
Re1 0.0000 0.0000 0.0000
Ir1 0.0000 0.5000 0.2500
Rh1 0.0000 0.0000 0.5000

---

Record 3
Re2IrRh: relaxed, PBEsol.

## Properties
N(E_F) = 4.54 states/eV per cell
ΔH_f (0 K) = 0.34 eV/atom
total energy = -43.26 eV per cell

Cell: 3.2922 3.2922 5.3662 Å, 90.00 90.00 90.00°
Space group P4/mmm (No. 123)
Unique sites:
Re1 0.0000 0.0000 0.2460
Ir1 0.5000 0.5000 0.0000
Rh1 0.5000 0.5000 0.5000

---

Record 4
ReIrRh2: relaxed, PBEsol.

## Properties
N(E_F) = 6.47 states/eV per cell
ΔH_f (0 K) = -0.06 eV/atom
total energy = -79.34 eV per cell

Cell: 5.3552 7.6876 2.6856 Å, 90.00 90.00 90.00°
Space group Cmmm (No. 65)
Unique sites:
Re1 0.0000 0.0000 0.0000
Ir1 0.0000 0.5000 0.0000
Rh1 0.2500 0.2500 0.5000

---

Question: What is the formula in the second record?
Answer: ReIr2Rh